A relaxed structure of BeTe2. Source: the Alexandria database, functional PBE.

```
BeTe2
1.0
5.952 -3.984 9.779
2.060 -1.691 11.825
-5.294 0.721 -10.881
Be Te
2 4
Direct
0.000 0.000 0.000
0.750 0.250 0.500
0.562 0.562 0.000
0.188 0.688 0.500
0.438 0.438 0.000
0.312 0.812 0.500
```

Summary:
**Electronic total energy**: -8.7 eV per formula unit
**Formation energy from raw total energies**: 0.449 eV per atom
**Space group**: I4_1/amd (141)